Record 1
# ZrScTa2

A geometry-optimized ZrScTa2 structure (PBEsol, the Alexandria database).

Symmetry = Imm2, No. 44
Energy = -10.006 eV/atom

Cell: 5.604 5.604 5.604 Å, 144.41 128.33 64.31°
Sites, in units of the cell vectors:
Zr 0.000 0.000 0.000
Sc 0.269 0.769 0.500
Ta 0.532 0.532 0.000
Ta 0.741 0.241 0.500

=====

Record 2
# Zr3ScTa

A geometry-optimized Zr3ScTa structure (PBEsol, the Alexandria database).

Symmetry = Pm-3m, No. 221
Energy = -7.906 eV/atom

Cell: 4.829 4.829 4.829 Å, 90.00 90.00 90.00°
Sites, in units of the cell vectors:
Zr 0.000 0.000 0.500
Zr 0.000 0.500 0.000
Zr 0.500 0.000 0.000
Sc 0.000 0.000 0.000
Ta 0.500 0.500 0.500

=====

Record 3
# ScTc

A geometry-optimized ScTc structure (PBEsol, the Alexandria database).

Symmetry = P6_3/mmc, No. 194
Energy = -7.518 eV/atom

Cell: 4.459 4.459 5.138 Å, 90.00 90.00 120.00°
Sites, in units of the cell vectors:
Sc 0.333 0.667 0.250
Sc 0.667 0.333 0.750
Tc 0.333 0.667 0.750
Tc 0.667 0.333 0.250

=====

Record 4
# Sc5Tc3

A geometry-optimized Sc5Tc3 structure (PBEsol, the Alexandria database).

Symmetry = P6_3/mcm, No. 193
Energy = -8.446 eV/atom

Cell: 7.730 7.730 5.721 Å, 90.00 90.00 120.00°
Sites, in units of the cell vectors:
Sc 0.000 0.260 0.250
Sc 0.000 0.740 0.750
Sc 0.260 0.000 0.250
Sc 0.260 0.260 0.750
Sc 0.333 0.667 0.000
Sc 0.333 0.667 0.500
Sc 0.667 0.333 0.000
Sc 0.667 0.333 0.500
Sc 0.740 0.000 0.750
Sc 0.740 0.740 0.250
Tc 0.000 0.395 0.750
Tc 0.000 0.605 0.250
Tc 0.395 0.000 0.750
Tc 0.395 0.395 0.250
Tc 0.605 0.000 0.250
Tc 0.605 0.605 0.750

=====

Record 5
# Sc6Tc7

A geometry-optimized Sc6Tc7 structure (PBEsol, the Alexandria database).

Symmetry = R-3m, No. 166
Energy = -9.302 eV/atom

Cell: 10.180 10.180 10.180 Å, 29.33 29.33 29.33°
Sites, in units of the cell vectors:
Sc 0.049 0.049 0.049
Sc 0.150 0.150 0.150
Sc 0.334 0.334 0.334
Sc 0.666 0.666 0.666
Sc 0.850 0.850 0.850
Sc 0.951 0.951 0.951
Tc 0.088 0.594 0.594
Tc 0.406 0.406 0.912
Tc 0.406 0.912 0.406
Tc 0.500 0.500 0.500
Tc 0.594 0.088 0.594
Tc 0.594 0.594 0.088
Tc 0.912 0.406 0.406

=====

Record 6
# ScTc3

A geometry-optimized ScTc3 structure (PBEsol, the Alexandria database).

Symmetry = P4/mmm, No. 123
Energy = -10.145 eV/atom

Cell: 4.397 4.397 3.078 Å, 90.00 90.00 90.00°
Sites, in units of the cell vectors:
Sc 0.000 0.000 0.000
Tc 0.000 0.500 0.500
Tc 0.500 0.000 0.500
Tc 0.500 0.500 0.000